Record 1
ScTcAu2 | GGA-PBE | optimized geometry

- DOS(E_F): 2.9 states/eV/cell
- Crystal system: monoclinic
- Polymorph energy (0 for the lowest one): 2.52 kcal/mol of atoms
- Symmetry: Cm (8)
- E_form: -0.128 eV per atom

a = 4.9948 Å, b = 4.9948 Å, c = 5.0082 Å
α = 78.65°, β = 78.65°, γ = 35.08°
Atoms (fractional coordinates):
1 Au 0.9956 0.9956 0.0166
2 Au 0.7513 0.7513 0.7442
3 Tc 0.2489 0.2489 0.2367
4 Sc 0.5042 0.5042 0.5024


Record 2
LiLaI4 | GGA-PBE | optimized geometry

- DOS(E_F): 0.0 states/eV/cell
- Crystal system: monoclinic
- E_form (uncorrected): -134 kJ/mol of atoms
- Symmetry: C2/m (12)

a = 4.5894 Å, b = 8.5148 Å, c = 7.6849 Å
α = 107.89°, β = 90.00°, γ = 105.63°
Atoms (fractional coordinates):
1 I 0.6183 0.2366 0.9118
2 I 0.1067 0.2135 0.4168
3 I 0.8933 0.7865 0.5832
4 I 0.3817 0.7634 0.0882
5 La 0.0000 0.0000 0.0000
6 Li 0.5000 0.0000 0.5000


Record 3
YMg2Sc | GGA-PBE | optimized geometry

- DOS(E_F): 4.4 states/eV/cell
- Crystal system: orthorhombic
- Polymorph energy (0 for the lowest one): 1.46 kcal/mol of atoms
- Symmetry: Amm2 (38)
- E_form: -0.006 eV per atom

a = 5.0419 Å, b = 3.2922 Å, c = 6.4446 Å
α = 75.14°, β = 90.00°, γ = 90.00°
Atoms (fractional coordinates):
1 Y 0.5000 0.8031 0.7698
2 Mg 0.5000 0.0572 0.2601
3 Mg 0.0000 0.1874 0.9988
4 Sc 0.0000 0.4523 0.4713